A relaxed ZnFe5 crystal, computed with PBE-GGA.

Cell lengths 2.463, 2.463, 11.211 Å; angles 90.00, 90.00, 90.00 degrees
Fractional coordinates of all 6 atoms:
Zn 0.000 0.000 0.000
Fe 0.000 0.000 0.338
Fe 0.000 0.000 0.662
Fe 0.500 0.500 0.177
Fe 0.500 0.500 0.500
Fe 0.500 0.500 0.823

Spin magnetization, μB/cell: 2.6
Crystal system: tetragonal
Uncorrected energy, eV per cell: -43.03
Symmetry: P4/mmm, No. 123
Formation energy, eV/f.u.: 0.6

---

A relaxed ZnFe5 crystal, computed with PBE-GGA.

Cell lengths 4.678, 4.678, 4.678 Å; angles 60.00, 60.00, 60.00 degrees
Fractional coordinates of all 6 atoms:
Zn 0.000 0.000 0.000
Fe 0.124 0.625 0.625
Fe 0.250 0.250 0.250
Fe 0.625 0.124 0.625
Fe 0.625 0.625 0.124
Fe 0.625 0.625 0.625

Spin magnetization, μB/cell: 9.9
Crystal system: cubic
Uncorrected energy, eV per cell: -42.83
Symmetry: F-43m, No. 216
Formation energy, eV/f.u.: 0.8